Computed, not measured: a geometry-optimized LaHgSb2Te structure at the GGA-PBE level of DFT.

Cell: 6.0862 6.0862 6.0454 Å, 90.00 90.00 90.00°
Closest atoms and distances in Å follow each position.
Atoms (fractional coordinates):
Sb (0.0000, 0.5000, 0.0000)  2 La 3.04
Sb (0.5000, 0.0000, 0.0000)  2 La 3.04
Te (0.5000, 0.5000, 0.5000)  8 Sb 4.29, 4 Hg 4.30
Hg (0.0000, 0.0000, 0.5000)  2 La 3.02
La (0.0000, 0.0000, 0.0000)  2 Hg 3.02, 4 Sb 3.04

Values from the calculation:
Offset from the most stable computed form   0.459 eV per atom

---

Computed, not measured: a geometry-optimized LaHgSbTe2 structure at the GGA-PBE level of DFT.

Cell: 5.5989 5.5989 5.5000 Å, 90.00 90.00 90.00°
Closest atoms and distances in Å follow each position.
Atoms (fractional coordinates):
Sb (0.0000, 0.0000, 0.5000)  2 Hg 2.75
Te (0.0000, 0.5000, 0.0000)  2 Hg 2.80
Te (0.5000, 0.0000, 0.0000)  2 Hg 2.80
Hg (0.0000, 0.0000, 0.0000)  2 Sb 2.75, 4 Te 2.80
La (0.5000, 0.5000, 0.5000)  8 Te 3.92, 4 Sb 3.96

Values from the calculation:
Offset from the most stable computed form   0.000 eV per atom

---

Computed, not measured: a geometry-optimized LaTl2HgSb2 structure at the GGA-PBE level of DFT.

Cell: 4.6523 7.7425 10.4689 Å, 90.00 90.00 90.00°
Closest atoms and distances in Å follow each position.
Atoms (fractional coordinates):
La (0.0000, 0.9866, 0.4231)  5 Sb 3.27-3.33, 2 Hg 3.58
La (0.0000, 0.4866, 0.5769)  5 Sb 3.27-3.33, 2 Hg 3.58
Tl (0.5000, 0.0388, 0.0488)  4 Tl 3.45-3.62, 4 Sb 3.47-3.61
Tl (0.0000, 0.3284, 0.1658)  4 Sb 3.24-3.53, 4 Tl 3.45-3.62
Tl (0.5000, 0.5388, 0.9512)  4 Tl 3.45-3.62, 4 Sb 3.47-3.61
Tl (0.0000, 0.8284, 0.8342)  4 Sb 3.24-3.53, 4 Tl 3.45-3.62
Hg (0.5000, 0.1624, 0.6771)  4 Sb 2.92-3.06
Hg (0.5000, 0.6624, 0.3229)  4 Sb 2.92-3.06
Sb (0.0000, 0.2462, 0.8341)  2 Hg 2.92, 1 Tl 3.24
Sb (0.5000, 0.2832, 0.4066)  2 Hg 2.98-3.06, 4 La 3.27-3.33
Sb (0.0000, 0.7462, 0.1659)  2 Hg 2.92, 1 Tl 3.24
Sb (0.5000, 0.7832, 0.5934)  2 Hg 2.98-3.06, 4 La 3.27-3.33

---

Number 1: volume 44.787 Å³ per atom, energy -2.818 eV per atom, E_form (uncorrected) 504.7 meV/atom. Number 2: volume 34.482 Å³ per atom, energy -3.208 eV per atom, E_form (uncorrected) -80.5 meV/atom. Number 3: volume 31.425 Å³ per atom, energy -3.408 eV per atom, E_form (uncorrected) -373.4 meV/atom.